Record 1
Entry from Alexandria: crystalline MgPaAl6 at its relaxed geometry (GGA-PBE).

abc: 4.4998 7.2438 9.4374
angles: 90.00 90.00 90.00
Fractional coordinates of all 16 atoms:
Mg  0.0000  0.0000  0.0000
Mg  0.0000  0.5000  0.5000
Pa  0.0000  0.0000  0.5785
Pa  0.0000  0.5000  0.0785
Al  0.0000  0.2020  0.2936
Al  0.0000  0.2980  0.7936
Al  0.0000  0.7020  0.7936
Al  0.0000  0.7980  0.2936
Al  0.5000  0.0000  0.3657
Al  0.5000  0.0000  0.8065
Al  0.5000  0.2076  0.0978
Al  0.5000  0.2924  0.5978
Al  0.5000  0.5000  0.3065
Al  0.5000  0.5000  0.8657
Al  0.5000  0.7076  0.5978
Al  0.5000  0.7924  0.0978

Properties
**M_tot**: 0.000 μB per atom
**E_form**: -48 meV per atom
**Space group**: Amm2
**DOS at the Fermi energy**: 0.849 states/eV/atom

Record 2
Entry from Alexandria: crystalline MgPaAl at its relaxed geometry (GGA-PBE).

abc: 2.9931 2.9931 14.3359
angles: 90.00 90.00 90.00
Fractional coordinates of all 6 atoms:
Mg  0.0000  0.0000  0.0000
Mg  0.5000  0.5000  0.5000
Pa  0.0000  0.0000  0.6876
Pa  0.5000  0.5000  0.1876
Al  0.0000  0.0000  0.3476
Al  0.5000  0.5000  0.8476

Properties
**M_tot**: 0.000 μB per atom
**E_form**: 24 meV per atom
**Space group**: I4mm
**DOS at the Fermi energy**: 1.189 states/eV/atom

Record 3
Entry from Alexandria: crystalline MgPaAl4 at its relaxed geometry (GGA-PBE).

abc: 5.4847 5.4847 5.4847
angles: 60.00 60.00 60.00
Fractional coordinates of all 6 atoms:
Mg  0.0000  0.0000  0.0000
Pa  0.7500  0.7500  0.7500
Al  0.3756  0.3756  0.3756
Al  0.3756  0.3756  0.8732
Al  0.3756  0.8732  0.3756
Al  0.8732  0.3756  0.3756

Properties
**M_tot**: 0.157 μB per atom
**E_form**: -65 meV per atom
**Space group**: F-43m
**DOS at the Fermi energy**: 1.467 states/eV/atom

Record 4
Entry from Alexandria: crystalline Mg2PaAl10 at its relaxed geometry (GGA-PBE).

abc: 9.2598 7.2577 6.9606
angles: 81.24 50.77 47.98
Fractional coordinates of all 13 atoms:
Mg  0.0000  0.5000  0.0000
Mg  0.5000  0.0000  0.5000
Pa  0.0000  0.0000  0.0000
Al  0.0000  0.0000  0.5000
Al  0.0092  0.6452  0.3548
Al  0.2912  0.5044  0.4956
Al  0.3548  0.9908  0.0092
Al  0.4956  0.7088  0.2912
Al  0.5000  0.5000  0.0000
Al  0.5044  0.2912  0.7088
Al  0.6452  0.0092  0.9908
Al  0.7088  0.4956  0.5044
Al  0.9908  0.3548  0.6452

Properties
**M_tot**: 0.000 μB per atom
**E_form**: -5 meV per atom
**Space group**: Fmmm
**DOS at the Fermi energy**: 0.562 states/eV/atom

Record 5
Entry from Alexandria: crystalline MgPaAl at its relaxed geometry (GGA-PBE).

abc: 4.9282 4.9282 3.1029
angles: 90.00 90.00 120.00
Fractional coordinates of all 3 atoms:
Mg  0.0000  0.0000  0.0000
Pa  0.6667  0.3333  0.5000
Al  0.3333  0.6667  0.0000

Properties
**M_tot**: 0.249 μB per atom
**E_form**: 22 meV per atom
**Space group**: P-6m2
**DOS at the Fermi energy**: 1.501 states/eV/atom

Record 6
Entry from Alexandria: crystalline Mg2PaAl6 at its relaxed geometry (GGA-PBE).

abc: 8.1560 8.1560 2.9984
angles: 90.31 90.31 60.30
Fractional coordinates of all 9 atoms:
Mg  0.1667  0.1667  0.0001
Mg  0.8333  0.8333  0.9999
Pa  0.5000  0.5000  0.0000
Al  0.1624  0.8376  0.5000
Al  0.1626  0.4997  0.4980
Al  0.4997  0.1626  0.4980
Al  0.5003  0.8374  0.5020
Al  0.8374  0.5003  0.5020
Al  0.8376  0.1624  0.5000

Properties
**M_tot**: 0.000 μB per atom
**E_form**: -103 meV per atom
**Space group**: C2/m
**DOS at the Fermi energy**: 0.734 states/eV/atom

Record 7
Entry from Alexandria: crystalline MgPaAl at its relaxed geometry (GGA-PBE).

abc: 3.0862 3.0862 15.8131
angles: 90.00 90.00 120.00
Fractional coordinates of all 6 atoms:
Mg  0.0000  0.0000  0.1509
Mg  0.0000  0.0000  0.8491
Pa  0.6667  0.3333  0.3346
Pa  0.6667  0.3333  0.6654
Al  0.0000  0.0000  0.5000
Al  0.6667  0.3333  0.0000

Properties
**M_tot**: 0.000 μB per atom
**E_form**: -12 meV per atom
**Space group**: P-6m2
**DOS at the Fermi energy**: 1.308 states/eV/atom

Record 8
Entry from Alexandria: crystalline MgPaAlPd at its relaxed geometry (GGA-PBE).

abc: 6.8645 6.8645 6.8645
angles: 90.00 90.00 90.00
Fractional coordinates of all 16 atoms:
Mg  0.0000  0.0000  0.0000
Mg  0.0000  0.5000  0.5000
Mg  0.5000  0.0000  0.5000
Mg  0.5000  0.5000  0.0000
Pa  0.0000  0.0000  0.5000
Pa  0.0000  0.5000  0.0000
Pa  0.5000  0.0000  0.0000
Pa  0.5000  0.5000  0.5000
Al  0.2500  0.2500  0.2500
Al  0.2500  0.7500  0.7500
Al  0.7500  0.2500  0.7500
Al  0.7500  0.7500  0.2500
Pd  0.2500  0.2500  0.7500
Pd  0.2500  0.7500  0.2500
Pd  0.7500  0.2500  0.2500
Pd  0.7500  0.7500  0.7500

Properties
**M_tot**: 0.001 μB per atom
**E_form**: -273 meV per atom
**Space group**: F-43m
**DOS at the Fermi energy**: 1.068 states/eV/atom

Record 9
Entry from Alexandria: crystalline Mg2PaAlS6 at its relaxed geometry (GGA-PBE).

abc: 6.9528 6.9528 6.9528
angles: 55.17 55.17 55.17
Fractional coordinates of all 10 atoms:
Mg  0.0000  0.0000  0.0000
Mg  0.4993  0.4993  0.4993
Pa  0.1930  0.1930  0.1930
Al  0.6930  0.6930  0.6930
S  0.0749  0.4303  0.7904
S  0.3110  0.9064  0.5989
S  0.4303  0.7904  0.0749
S  0.5989  0.3110  0.9064
S  0.7904  0.0749  0.4303
S  0.9064  0.5989  0.3110

Properties
**Formation energy from raw total energies**: -1.3101 eV/atom
**M_tot**: 0.000 μB per atom
**Space group**: R3
**DOS at the Fermi energy**: 0.000 states/eV/atom

Record 10
Entry from Alexandria: crystalline YMgPaAl at its relaxed geometry (GGA-PBE).

abc: 7.3124 7.3124 7.3124
angles: 90.00 90.00 90.00
Fractional coordinates of all 16 atoms:
Y  0.0000  0.0000  0.0000
Y  0.0000  0.5000  0.5000
Y  0.5000  0.0000  0.5000
Y  0.5000  0.5000  0.0000
Mg  0.2500  0.2500  0.2500
Mg  0.2500  0.7500  0.7500
Mg  0.7500  0.2500  0.7500
Mg  0.7500  0.7500  0.2500
Pa  0.0000  0.0000  0.5000
Pa  0.0000  0.5000  0.0000
Pa  0.5000  0.0000  0.0000
Pa  0.5000  0.5000  0.5000
Al  0.2500  0.2500  0.7500
Al  0.2500  0.7500  0.2500
Al  0.7500  0.2500  0.2500
Al  0.7500  0.7500  0.7500

Properties
**M_tot**: 0.189 μB per atom
**E_form**: 54 meV per atom
**Space group**: F-43m
**DOS at the Fermi energy**: 1.604 states/eV/atom

Record 11
Entry from Alexandria: crystalline Mg2Al2Pb at its relaxed geometry (GGA-PBE).

abc: 8.3859 8.3859 3.1604
angles: 90.00 90.00 90.00
Fractional coordinates of all 10 atoms:
Mg  0.1815  0.3185  0.0000
Mg  0.3185  0.8185  0.0000
Mg  0.6815  0.1815  0.0000
Mg  0.8185  0.6815  0.0000
Al  0.1138  0.6138  0.5000
Al  0.3862  0.1138  0.5000
Al  0.6138  0.8862  0.5000
Al  0.8862  0.3862  0.5000
Pb  0.0000  0.0000  0.5000
Pb  0.5000  0.5000  0.5000

Properties
**M_tot**: 0.000 μB per atom
**E_form**: 62 meV per atom
**Space group**: P4/mbm
**DOS at the Fermi energy**: 0.426 states/eV/atom

Record 12
Entry from Alexandria: crystalline Mg4AlPb at its relaxed geometry (GGA-PBE).

abc: 4.7690 4.7725 6.8586
angles: 90.00 90.32 90.00
Fractional coordinates of all 6 atoms:
Mg  0.9998  0.0000  0.2361
Mg  0.0002  0.0000  0.7639
Mg  0.4972  0.5000  0.7632
Mg  0.5028  0.5000  0.2368
Al  0.0000  0.5000  0.0000
Pb  0.5000  0.0000  0.5000

Properties
**M_tot**: 0.000 μB per atom
**E_form**: 33 meV per atom
**Space group**: P2/m
**DOS at the Fermi energy**: 0.241 states/eV/atom

Record 13
Entry from Alexandria: crystalline Mg6AlPb2 at its relaxed geometry (GGA-PBE).

abc: 8.2960 8.2960 3.5898
angles: 90.00 90.00 120.00
Fractional coordinates of all 9 atoms:
Mg  0.0000  0.2714  0.0000
Mg  0.0000  0.6380  0.5000
Mg  0.2714  0.0000  0.0000
Mg  0.3620  0.3620  0.5000
Mg  0.6380  0.0000  0.5000
Mg  0.7286  0.7286  0.0000
Al  0.0000  0.0000  0.5000
Pb  0.3333  0.6667  0.0000
Pb  0.6667  0.3333  0.0000

Properties
**M_tot**: 0.000 μB per atom
**E_form**: -40 meV per atom
**Space group**: P-62m
**DOS at the Fermi energy**: 0.262 states/eV/atom

Record 14
Entry from Alexandria: crystalline MgAlPb4 at its relaxed geometry (GGA-PBE).

abc: 6.4548 6.4548 6.4548
angles: 60.00 60.00 60.00
Fractional coordinates of all 6 atoms:
Mg  0.0000  0.0000  0.0000
Al  0.2500  0.2500  0.2500
Pb  0.1249  0.6250  0.6250
Pb  0.6250  0.1249  0.6250
Pb  0.6250  0.6250  0.1249
Pb  0.6250  0.6250  0.6250

Properties
**M_tot**: 0.000 μB per atom
**E_form**: 349 meV per atom
**Space group**: F-43m
**DOS at the Fermi energy**: 0.749 states/eV/atom

Record 15
Entry from Alexandria: crystalline Mg2AlPb at its relaxed geometry (GGA-PBE).

abc: 4.4211 4.4211 9.3891
angles: 90.00 90.00 90.00
Fractional coordinates of all 8 atoms:
Mg  0.0000  0.0000  0.0000
Mg  0.0000  0.5000  0.2500
Mg  0.5000  0.0000  0.7500
Mg  0.5000  0.5000  0.5000
Al  0.0000  0.0000  0.5000
Al  0.5000  0.5000  0.0000
Pb  0.0000  0.5000  0.7500
Pb  0.5000  0.0000  0.2500

Properties
**M_tot**: 0.000 μB per atom
**E_form**: 44 meV per atom
**Space group**: I-4m2
**DOS at the Fermi energy**: 0.337 states/eV/atom

Record 16
Entry from Alexandria: crystalline Mg7Al2Pb2 at its relaxed geometry (GGA-PBE).

abc: 5.6859 5.6859 8.3300
angles: 96.66 96.66 101.66
Fractional coordinates of all 11 atoms:
Mg  0.0000  0.0000  0.0000
Mg  0.0777  0.4674  0.8227
Mg  0.1259  0.1259  0.3650
Mg  0.4674  0.0777  0.8227
Mg  0.5326  0.9223  0.1773
Mg  0.8741  0.8741  0.6350
Mg  0.9223  0.5326  0.1773
Al  0.3918  0.3918  0.1238
Al  0.6082  0.6082  0.8762
Pb  0.3062  0.6938  0.5000
Pb  0.6938  0.3062  0.5000

Properties
**M_tot**: 0.000 μB per atom
**E_form**: 20 meV per atom
**Space group**: C2/m
**DOS at the Fermi energy**: 0.416 states/eV/atom

Record 17
Entry from Alexandria: crystalline Mg2AlPb at its relaxed geometry (GGA-PBE).

abc: 3.8572 3.8572 6.3120
angles: 90.00 90.00 90.00
Fractional coordinates of all 4 atoms:
Mg  0.0000  0.0000  0.0000
Mg  0.5000  0.5000  0.2539
Al  0.5000  0.5000  0.7827
Pb  0.0000  0.0000  0.5168

Properties
**M_tot**: 0.000 μB per atom
**E_form**: 91 meV per atom
**Space group**: P4mm
**DOS at the Fermi energy**: 0.486 states/eV/atom

Record 18
Entry from Alexandria: crystalline Mg16Al12Pb at its relaxed geometry (GGA-PBE).

abc: 9.1589 9.1589 9.1589
angles: 109.41 109.41 109.41
Fractional coordinates of all 29 atoms:
Mg  0.0000  0.0000  0.0000
Mg  0.0045  0.0045  0.6568
Mg  0.0050  0.4071  0.6868
Mg  0.0045  0.6568  0.0045
Mg  0.0050  0.6868  0.4071
Mg  0.2961  0.6113  0.6113
Mg  0.3200  0.3200  0.7175
Mg  0.3200  0.7175  0.3200
Mg  0.4071  0.0050  0.6868
Mg  0.4071  0.6868  0.0050
Mg  0.6113  0.2961  0.6113
Mg  0.6113  0.6113  0.2961
Mg  0.6568  0.0045  0.0045
Mg  0.6868  0.0050  0.4071
Mg  0.6868  0.4071  0.0050
Mg  0.7175  0.3200  0.3200
Al  0.1861  0.3715  0.9960
Al  0.1861  0.9960  0.3715
Al  0.1896  0.8204  0.8204
Al  0.3715  0.1861  0.9960
Al  0.3715  0.9960  0.1861
Al  0.6428  0.6428  0.8304
Al  0.6428  0.8304  0.6428
Al  0.8204  0.1896  0.8204
Al  0.8204  0.8204  0.1896
Al  0.8304  0.6428  0.6428
Al  0.9960  0.1861  0.3715
Al  0.9960  0.3715  0.1861
Pb  0.3433  0.3433  0.3433

Properties
**M_tot**: 0.000 μB per atom
**E_form**: -14 meV per atom
**Space group**: R3m
**DOS at the Fermi energy**: 0.322 states/eV/atom

Record 19
Entry from Alexandria: crystalline MgAl4Pb at its relaxed geometry (GGA-PBE).

abc: 5.5913 5.5913 5.5913
angles: 60.00 60.00 60.00
Fractional coordinates of all 6 atoms:
Mg  0.0000  0.0000  0.0000
Al  0.3748  0.3748  0.3748
Al  0.3748  0.3748  0.8757
Al  0.3748  0.8757  0.3748
Al  0.8757  0.3748  0.3748
Pb  0.7500  0.7500  0.7500

Properties
**M_tot**: 0.000 μB per atom
**E_form**: 94 meV per atom
**Space group**: F-43m
**DOS at the Fermi energy**: 0.457 states/eV/atom

Record 20
Entry from Alexandria: crystalline Mg9AlPb2 at its relaxed geometry (GGA-PBE).

abc: 4.5057 4.5057 13.5687
angles: 90.00 90.00 90.00
Fractional coordinates of all 12 atoms:
Mg  0.0000  0.0000  0.0000
Mg  0.0000  0.0000  0.3289
Mg  0.0000  0.0000  0.6711
Mg  0.0000  0.5000  0.1553
Mg  0.0000  0.5000  0.5000
Mg  0.0000  0.5000  0.8447
Mg  0.5000  0.0000  0.1553
Mg  0.5000  0.0000  0.5000
Mg  0.5000  0.0000  0.8447
Al  0.5000  0.5000  0.0000
Pb  0.5000  0.5000  0.3297
Pb  0.5000  0.5000  0.6703

Properties
**M_tot**: 0.000 μB per atom
**E_form**: -28 meV per atom
**Space group**: P4/mmm
**DOS at the Fermi energy**: 0.482 states/eV/atom

Record 21
Entry from Alexandria: crystalline Mg5AlPb at its relaxed geometry (GGA-PBE).

abc: 5.9149 5.9149 9.8465
angles: 93.04 93.04 87.73
Fractional coordinates of all 14 atoms:
Mg  0.0194  0.3507  0.7814
Mg  0.1848  0.8152  0.7500
Mg  0.2520  0.4586  0.4953
Mg  0.3507  0.0194  0.2814
Mg  0.4586  0.2520  0.9953
Mg  0.5414  0.7480  0.0047
Mg  0.6493  0.9806  0.7186
Mg  0.7480  0.5414  0.5047
Mg  0.8152  0.1848  0.2500
Mg  0.9806  0.6493  0.2186
Al  0.4748  0.5252  0.2500
Al  0.5252  0.4748  0.7500
Pb  0.0000  0.0000  0.0000
Pb  0.0000  0.0000  0.5000

Properties
**M_tot**: 0.000 μB per atom
**E_form**: 63 meV per atom
**Space group**: C2/c
**DOS at the Fermi energy**: 0.313 states/eV/atom

Record 22
Entry from Alexandria: crystalline Mg2AlPb at its relaxed geometry (GGA-PBE).

abc: 7.2516 7.2516 7.2516
angles: 90.00 90.00 90.00
Fractional coordinates of all 16 atoms:
Mg  0.0000  0.0000  0.0000
Mg  0.0000  0.5000  0.5000
Mg  0.2500  0.2500  0.2500
Mg  0.2500  0.7500  0.7500
Mg  0.5000  0.0000  0.5000
Mg  0.5000  0.5000  0.0000
Mg  0.7500  0.2500  0.7500
Mg  0.7500  0.7500  0.2500
Al  0.0000  0.0000  0.5000
Al  0.0000  0.5000  0.0000
Al  0.5000  0.0000  0.0000
Al  0.5000  0.5000  0.5000
Pb  0.2500  0.2500  0.7500
Pb  0.2500  0.7500  0.2500
Pb  0.7500  0.2500  0.2500
Pb  0.7500  0.7500  0.7500

Properties
**M_tot**: 0.000 μB per atom
**E_form**: 138 meV per atom
**Space group**: F-43m
**DOS at the Fermi energy**: 0.648 states/eV/atom

Record 23
Entry from Alexandria: crystalline Mg2AlPb at its relaxed geometry (GGA-PBE).

abc: 9.8022 3.3964 5.6673
angles: 90.00 101.33 90.00
Fractional coordinates of all 8 atoms:
Mg  0.2438  0.0000  0.2283
Mg  0.2562  0.5000  0.7717
Mg  0.7438  0.5000  0.2283
Mg  0.7562  0.0000  0.7717
Al  0.0000  0.5000  0.0000
Al  0.5000  0.0000  0.0000
Pb  0.0000  0.0000  0.5000
Pb  0.5000  0.5000  0.5000

Properties
**M_tot**: 0.000 μB per atom
**E_form**: 31 meV per atom
**Space group**: C2/m
**DOS at the Fermi energy**: 0.434 states/eV/atom

Record 24
Entry from Alexandria: crystalline Mg2Al2Pb at its relaxed geometry (GGA-PBE).

abc: 4.3866 4.3866 12.4799
angles: 90.00 90.00 90.00
Fractional coordinates of all 10 atoms:
Mg  0.0000  0.5000  0.2500
Mg  0.0000  0.5000  0.7500
Mg  0.5000  0.0000  0.2500
Mg  0.5000  0.0000  0.7500
Al  0.0000  0.0000  0.1011
Al  0.0000  0.0000  0.8989
Al  0.5000  0.5000  0.3989
Al  0.5000  0.5000  0.6011
Pb  0.0000  0.0000  0.5000
Pb  0.5000  0.5000  0.0000

Properties
**M_tot**: 0.000 μB per atom
**E_form**: 157 meV per atom
**Space group**: I4/mmm
**DOS at the Fermi energy**: 0.528 states/eV/atom

Record 25
Entry from Alexandria: crystalline Mg2AlPb at its relaxed geometry (GGA-PBE).

abc: 4.6163 4.6163 8.6123
angles: 90.00 90.00 90.00
Fractional coordinates of all 8 atoms:
Mg  0.0000  0.5000  0.2500
Mg  0.0000  0.5000  0.7500
Mg  0.5000  0.0000  0.2500
Mg  0.5000  0.0000  0.7500
Al  0.0000  0.0000  0.0000
Al  0.5000  0.5000  0.5000
Pb  0.0000  0.0000  0.5000
Pb  0.5000  0.5000  0.0000

Properties
**M_tot**: 0.000 μB per atom
**E_form**: 35 meV per atom
**Space group**: I4/mmm
**DOS at the Fermi energy**: 0.418 states/eV/atom